1.
{"formula": "ZnCoRu", "functional": "PBE-GGA", "state": "optimized geometry", "spacegroup": "No. 156", "dft_energy_ev_per_atom": -5.716, "relative_energy_mev_per_atom": 126, "lattice_angstrom": [[4.168, 0.000, 0.000], [-2.084, 3.610, 0.000], [0.000, 0.000, 2.588]], "species": ["Zn", "Co", "Ru"], "fractional_positions": [[0.000, 0.000, 0.000], [0.667, 0.333, 0.167], [0.333, 0.667, 0.573]]}



2.
{"formula": "Cr2CoAg", "functional": "PBE-GGA", "state": "optimized geometry", "spacegroup": "No. 216", "dft_energy_ev_per_atom": -6.788, "relative_energy_mev_per_atom": 164, "lattice_angstrom": [[0.000, 3.025, 3.025], [3.025, 0.000, 3.025], [3.025, 3.025, 0.000]], "species": ["Cr", "Cr", "Co", "Ag"], "fractional_positions": [[0.000, 0.000, 0.000], [0.250, 0.250, 0.250], [0.500, 0.500, 0.500], [0.750, 0.750, 0.750]]}



Result set for energy of formation: 0.51, 2.05 eV per formula unit, one per record in the order listed.